Computed, not measured: a PBEsol-optimized structure of KMgNi2Te at the SCAN level of DFT.

a b c (Å): 4.750 4.750 5.482
angles (deg): 90.00 90.00 90.00
Element x y z (fractional)
K (0.000, 0.000, 0.000)
Mg (0.500, 0.500, 0.000)
Ni (0.000, 0.500, 0.500)
Ni (0.500, 0.000, 0.500)
Te (0.500, 0.500, 0.500)

Summary:
formation energy from raw total energies	242	kJ/mol of formula units
space-group type	No. 123


Computed, not measured: a PBEsol-optimized structure of Mo8P5 at the SCAN level of DFT.

a b c (Å): 6.514 3.171 9.356
angles (deg): 90.00 109.40 90.00
Element x y z (fractional)
Mo (0.000, 0.000, 0.000)
Mo (0.010, 0.000, 0.322)
Mo (0.215, 0.000, 0.753)
Mo (0.339, 0.500, 0.247)
Mo (0.449, 0.000, 0.530)
Mo (0.568, 0.000, 0.057)
Mo (0.607, 0.500, 0.802)
Mo (0.820, 0.500, 0.532)
P (0.190, 0.500, 0.539)
P (0.271, 0.500, 0.959)
P (0.635, 0.000, 0.325)
P (0.835, 0.000, 0.733)
P (0.862, 0.500, 0.128)

Summary:
space-group type	No. 6
DFT formation energy	-478	meV/atom


Computed, not measured: a PBEsol-optimized structure of LaPb3 at the SCAN level of DFT.

a b c (Å): 4.866 4.866 4.866
angles (deg): 90.00 90.00 90.00
Element x y z (fractional)
La (0.000, 0.000, 0.000)
Pb (0.000, 0.500, 0.500)
Pb (0.500, 0.000, 0.500)
Pb (0.500, 0.500, 0.000)

Summary:
space-group type	No. 221
DFT formation energy	-616	meV/atom


Computed, not measured: a PBEsol-optimized structure of Hf3NiO at the SCAN level of DFT.

a b c (Å): 4.693 4.693 4.693
angles (deg): 90.00 90.00 90.00
Element x y z (fractional)
Hf (0.000, 0.000, 0.500)
Hf (0.000, 0.500, 0.000)
Hf (0.500, 0.000, 0.000)
Ni (0.000, 0.000, 0.000)
O (0.500, 0.500, 0.500)

Summary:
formation energy from raw total energies	281	kJ/mol of formula units
space-group type	No. 221


Computed, not measured: a PBEsol-optimized structure of K3Sr at the SCAN level of DFT.

a b c (Å): 4.400 7.413 7.894
angles (deg): 90.00 90.00 90.00
Element x y z (fractional)
K (0.000, 0.000, 0.000)
K (0.000, 0.500, 0.328)
K (0.500, 0.000, 0.510)
Sr (0.500, 0.500, 0.829)

Summary:
space-group type	No. 25
DFT formation energy	88	meV/atom
excess energy over the best structure of this formula in the dataset	39	meV per atom


Computed, not measured: a PBEsol-optimized structure of ZrP2SBr at the SCAN level of DFT.

a b c (Å): 4.659 4.659 4.655
angles (deg): 90.00 90.00 90.00
Element x y z (fractional)
Zr (0.000, 0.000, 0.000)
P (0.000, 0.500, 0.500)
P (0.500, 0.000, 0.500)
S (0.500, 0.500, 0.000)
Br (0.500, 0.500, 0.500)

Summary:
formation energy from raw total energies	459	kJ/mol of formula units
space-group type	No. 123


Computed, not measured: a PBEsol-optimized structure of YNi3Bi at the SCAN level of DFT.

a b c (Å): 4.655 4.655 4.655
angles (deg): 90.00 90.00 90.00
Element x y z (fractional)
Y (0.000, 0.000, 0.000)
Ni (0.000, 0.000, 0.500)
Ni (0.000, 0.500, 0.000)
Ni (0.500, 0.000, 0.000)
Bi (0.500, 0.500, 0.500)

Summary:
space-group type	No. 221
DFT formation energy	1179	meV/atom


Computed, not measured: a PBEsol-optimized structure of RbBa2Ag2 at the SCAN level of DFT.

a b c (Å): 9.103 9.103 4.613
angles (deg): 90.00 90.00 90.00
Element x y z (fractional)
Rb (0.000, 0.000, 0.000)
Rb (0.500, 0.500, 0.000)
Ba (0.163, 0.337, 0.500)
Ba (0.337, 0.837, 0.500)
Ba (0.663, 0.163, 0.500)
Ba (0.837, 0.663, 0.500)
Ag (0.114, 0.614, 0.000)
Ag (0.386, 0.114, 0.000)
Ag (0.614, 0.886, 0.000)
Ag (0.886, 0.386, 0.000)

Summary:
space-group type	No. 127
DFT formation energy	-122	meV/atom
excess energy over the best structure of this formula in the dataset	0	meV per atom


Computed, not measured: a PBEsol-optimized structure of Ba3AlRe at the SCAN level of DFT.

a b c (Å): 5.770 5.770 5.770
angles (deg): 90.00 90.00 90.00
Element x y z (fractional)
Ba (0.000, 0.000, 0.500)
Ba (0.000, 0.500, 0.000)
Ba (0.500, 0.000, 0.000)
Al (0.500, 0.500, 0.500)
Re (0.000, 0.000, 0.000)

Summary:
space-group type	No. 221
DFT formation energy	815	meV/atom
excess energy over the best structure of this formula in the dataset	0	meV per atom


Computed, not measured: a PBEsol-optimized structure of LiTi2P2 at the SCAN level of DFT.

a b c (Å): 6.498 6.498 3.303
angles (deg): 90.00 90.00 90.00
Element x y z (fractional)
Li (0.000, 0.000, 0.000)
Li (0.500, 0.500, 0.000)
Ti (0.154, 0.346, 0.500)
Ti (0.346, 0.846, 0.500)
Ti (0.654, 0.154, 0.500)
Ti (0.846, 0.654, 0.500)
P (0.144, 0.644, 0.000)
P (0.356, 0.144, 0.000)
P (0.644, 0.856, 0.000)
P (0.856, 0.356, 0.000)

Summary:
space-group type	No. 127
DFT formation energy	-996	meV/atom


Computed, not measured: a PBEsol-optimized structure of Ag2GeSe3 at the SCAN level of DFT.

a b c (Å): 7.109 7.109 6.768
angles (deg): 90.00 90.00 60.80
Element x y z (fractional)
Ag (0.002, 0.683, 0.500)
Ag (0.317, 0.998, 0.500)
Ag (0.683, 0.002, 0.000)
Ag (0.998, 0.317, 0.000)
Ge (0.335, 0.665, 0.967)
Ge (0.665, 0.335, 0.467)
Se (0.021, 0.656, 0.880)
Se (0.344, 0.979, 0.880)
Se (0.348, 0.652, 0.337)
Se (0.652, 0.348, 0.837)
Se (0.656, 0.021, 0.380)
Se (0.979, 0.344, 0.380)

Summary:
formation energy from raw total energies	-114	kJ/mol of formula units
space-group type	No. 36


Computed, not measured: a PBEsol-optimized structure of ZrAg4 at the SCAN level of DFT.

a b c (Å): 9.641 2.873 7.153
angles (deg): 90.00 118.32 90.00
Element x y z (fractional)
Zr (0.000, 0.000, 0.000)
Zr (0.500, 0.500, 0.000)
Ag (0.104, 0.500, 0.408)
Ag (0.195, 0.000, 0.796)
Ag (0.305, 0.500, 0.204)
Ag (0.396, 0.000, 0.592)
Ag (0.604, 0.000, 0.408)
Ag (0.695, 0.500, 0.796)
Ag (0.805, 0.000, 0.204)
Ag (0.896, 0.500, 0.592)

Summary:
space-group type	No. 12
DFT formation energy	-25	meV/atom


Computed, not measured: a PBEsol-optimized structure of KCdHg2 at the SCAN level of DFT.

a b c (Å): 7.491 7.491 7.491
angles (deg): 90.00 90.00 90.00
Element x y z (fractional)
K (0.000, 0.000, 0.000)
K (0.000, 0.500, 0.500)
K (0.500, 0.000, 0.500)
K (0.500, 0.500, 0.000)
Cd (0.250, 0.250, 0.250)
Cd (0.250, 0.750, 0.750)
Cd (0.750, 0.250, 0.750)
Cd (0.750, 0.750, 0.250)
Hg (0.000, 0.000, 0.500)
Hg (0.000, 0.500, 0.000)
Hg (0.250, 0.250, 0.750)
Hg (0.250, 0.750, 0.250)
Hg (0.500, 0.000, 0.000)
Hg (0.500, 0.500, 0.500)
Hg (0.750, 0.250, 0.250)
Hg (0.750, 0.750, 0.750)

Summary:
space-group type	No. 216
DFT formation energy	-143	meV/atom


Computed, not measured: a PBEsol-optimized structure of Tc2IrOs at the SCAN level of DFT.

a b c (Å): 2.697 2.697 26.621
angles (deg): 90.00 90.00 120.00
Element x y z (fractional)
Tc (0.000, 0.000, 0.250)
Tc (0.000, 0.000, 0.750)
Tc (0.333, 0.667, 0.416)
Tc (0.333, 0.667, 0.917)
Tc (0.667, 0.333, 0.083)
Tc (0.667, 0.333, 0.584)
Ir (0.000, 0.000, 0.500)
Ir (0.333, 0.667, 0.167)
Ir (0.667, 0.333, 0.833)
Os (0.000, 0.000, 0.000)
Os (0.333, 0.667, 0.667)
Os (0.667, 0.333, 0.333)

Summary:
space-group type	No. 166
DFT formation energy	-60	meV/atom
excess energy over the best structure of this formula in the dataset	207	meV per atom


Computed, not measured: a PBEsol-optimized structure of K4NaCl5 at the SCAN level of DFT.

a b c (Å): 7.488 7.488 10.590
angles (deg): 118.09 118.09 33.50
Element x y z (fractional)
K (0.103, 0.103, 0.400)
K (0.303, 0.303, 0.194)
K (0.697, 0.697, 0.806)
K (0.897, 0.897, 0.600)
Na (0.500, 0.500, 0.000)
Cl (0.090, 0.090, 0.908)
Cl (0.305, 0.305, 0.715)
Cl (0.500, 0.500, 0.500)
Cl (0.695, 0.695, 0.285)
Cl (0.910, 0.910, 0.092)

Summary:
formation energy from raw total energies	-2062	kJ/mol of formula units
space-group type	No. 12
excess energy over the best structure of this formula in the dataset	4	meV per atom


Computed, not measured: a PBEsol-optimized structure of YCu2Ir2 at the SCAN level of DFT.

a b c (Å): 3.880 3.880 11.083
angles (deg): 90.00 90.00 90.00
Element x y z (fractional)
Y (0.000, 0.000, 0.000)
Y (0.500, 0.500, 0.500)
Cu (0.000, 0.500, 0.250)
Cu (0.000, 0.500, 0.750)
Cu (0.500, 0.000, 0.250)
Cu (0.500, 0.000, 0.750)
Ir (0.000, 0.000, 0.393)
Ir (0.000, 0.000, 0.607)
Ir (0.500, 0.500, 0.107)
Ir (0.500, 0.500, 0.893)

Summary:
space-group type	No. 139
DFT formation energy	-250	meV/atom


Computed, not measured: a PBEsol-optimized structure of CrHgSbI2 at the SCAN level of DFT.

a b c (Å): 5.767 5.767 5.516
angles (deg): 90.00 90.00 90.00
Element x y z (fractional)
Cr (0.000, 0.000, 0.000)
Hg (0.500, 0.500, 0.500)
Sb (0.500, 0.500, 0.000)
I (0.000, 0.500, 0.500)
I (0.500, 0.000, 0.500)

Summary:
formation energy from raw total energies	332	kJ/mol of formula units
space-group type	No. 123


Computed, not measured: a PBEsol-optimized structure of SbTe2Au at the SCAN level of DFT.

a b c (Å): 3.954 4.722 11.559
angles (deg): 90.00 90.00 90.00
Element x y z (fractional)
Sb (0.000, 0.000, 0.000)
Sb (0.500, 0.500, 0.500)
Te (0.000, 0.500, 0.174)
Te (0.000, 0.500, 0.826)
Te (0.500, 0.000, 0.326)
Te (0.500, 0.000, 0.674)
Au (0.000, 0.000, 0.500)
Au (0.500, 0.500, 0.000)

Summary:
formation energy from raw total energies	28	kJ/mol of formula units
space-group type	No. 71


Computed, not measured: a PBEsol-optimized structure of TaW at the SCAN level of DFT.

a b c (Å): 3.203 4.581 9.015
angles (deg): 90.00 90.00 90.00
Element x y z (fractional)
Ta (0.000, 0.250, 0.131)
Ta (0.000, 0.750, 0.869)
Ta (0.500, 0.250, 0.869)
Ta (0.500, 0.750, 0.131)
W (0.000, 0.250, 0.620)
W (0.000, 0.750, 0.380)
W (0.500, 0.250, 0.380)
W (0.500, 0.750, 0.620)

Summary:
space-group type	No. 67
DFT formation energy	-52	meV/atom


Computed, not measured: a PBEsol-optimized structure of BaAl3Tl at the SCAN level of DFT.

a b c (Å): 5.365 5.365 5.365
angles (deg): 90.00 90.00 90.00
Element x y z (fractional)
Ba (0.000, 0.000, 0.000)
Al (0.000, 0.500, 0.500)
Al (0.500, 0.000, 0.500)
Al (0.500, 0.500, 0.000)
Tl (0.500, 0.500, 0.500)

Summary:
space-group type	No. 221
DFT formation energy	410	meV/atom


Computed, not measured: a PBEsol-optimized structure of SrTl3 at the SCAN level of DFT.

a b c (Å): 4.857 4.857 4.857
angles (deg): 90.00 90.00 90.00
Element x y z (fractional)
Sr (0.000, 0.000, 0.000)
Tl (0.000, 0.500, 0.500)
Tl (0.500, 0.000, 0.500)
Tl (0.500, 0.500, 0.000)

Summary:
space-group type	No. 221
DFT formation energy	-357	meV/atom


Computed, not measured: a PBEsol-optimized structure of CaBr2O2 at the SCAN level of DFT.

a b c (Å): 4.766 4.766 8.598
angles (deg): 90.00 90.00 90.00
Element x y z (fractional)
Ca (0.000, 0.000, 0.000)
Ca (0.500, 0.500, 0.500)
Br (0.000, 0.000, 0.307)
Br (0.000, 0.000, 0.693)
Br (0.500, 0.500, 0.193)
Br (0.500, 0.500, 0.807)
O (0.000, 0.500, 0.250)
O (0.000, 0.500, 0.750)
O (0.500, 0.000, 0.250)
O (0.500, 0.000, 0.750)

Summary:
formation energy from raw total energies	-73	kJ/mol of formula units
space-group type	No. 139


Computed, not measured: a PBEsol-optimized structure of Ti3ZnBi at the SCAN level of DFT.

a b c (Å): 4.643 4.643 4.643
angles (deg): 90.00 90.00 90.00
Element x y z (fractional)
Ti (0.000, 0.000, 0.500)
Ti (0.000, 0.500, 0.000)
Ti (0.500, 0.000, 0.000)
Zn (0.000, 0.000, 0.000)
Bi (0.500, 0.500, 0.500)

Summary:
space-group type	No. 221
DFT formation energy	321	meV/atom


Computed, not measured: a PBEsol-optimized structure of LaZrSN2 at the SCAN level of DFT.

a b c (Å): 4.192 4.192 4.964
angles (deg): 90.00 90.00 90.00
Element x y z (fractional)
La (0.000, 0.000, 0.000)
Zr (0.500, 0.500, 0.500)
S (0.500, 0.500, 0.000)
N (0.000, 0.500, 0.500)
N (0.500, 0.000, 0.500)

Summary:
formation energy from raw total energies	-619	kJ/mol of formula units
space-group type	No. 123


Computed, not measured: a PBEsol-optimized structure of Li3FeOF4 at the SCAN level of DFT.

a b c (Å): 5.120 5.120 6.664
angles (deg): 129.33 129.33 42.31
Element x y z (fractional)
Li (0.000, 0.000, 0.000)
Li (0.172, 0.172, 0.532)
Li (0.530, 0.530, 0.714)
Fe (0.364, 0.364, 0.155)
O (0.875, 0.875, 0.152)
F (0.086, 0.086, 0.808)
F (0.267, 0.267, 0.349)
F (0.425, 0.425, 0.906)
F (0.625, 0.625, 0.529)

Summary:
formation energy from raw total energies	-2346	kJ/mol of formula units
space-group type	No. 8


Computed, not measured: a PBEsol-optimized structure of SiTeO2F at the SCAN level of DFT.

a b c (Å): 3.366 3.366 7.173
angles (deg): 90.00 90.00 90.00
Element x y z (fractional)
Si (0.000, 0.000, 0.000)
Te (0.500, 0.500, 0.500)
O (0.000, 0.500, 0.000)
O (0.500, 0.000, 0.000)
F (0.000, 0.000, 0.500)

Summary:
formation energy from raw total energies	-603	kJ/mol of formula units
space-group type	No. 123


Computed, not measured: a PBEsol-optimized structure of CaLa3 at the SCAN level of DFT.

a b c (Å): 3.698 11.907 6.482
angles (deg): 90.00 90.00 90.00
Element x y z (fractional)
Ca (0.000, 0.000, 0.000)
Ca (0.500, 0.500, 0.500)
La (0.000, 0.243, 0.346)
La (0.000, 0.500, 0.001)
La (0.000, 0.757, 0.346)
La (0.500, 0.000, 0.501)
La (0.500, 0.257, 0.846)
La (0.500, 0.743, 0.846)

Summary:
space-group type	No. 44
DFT formation energy	55	meV/atom